# 1
# GGA-PBE Tm12Al3Zn, relaxed
data_Tm12Al3Zn
_cell_length_a 4.691
_cell_length_b 4.691
_cell_length_c 18.780
_cell_angle_alpha 90.00
_cell_angle_beta 90.00
_cell_angle_gamma 90.00
_symmetry_space_group_name_H-M 'P 1'
_symmetry_Int_Tables_number 1
loop_
_symmetry_equiv_pos_as_xyz
'x,y,z'
loop_
_atom_site_label
_atom_site_fract_x
_atom_site_fract_y
_atom_site_fract_z
Tm1 0.500 0.500 0.750
Tm2 0.000 0.500 0.125
Tm3 0.500 0.000 0.625
Tm4 0.500 0.500 0.000
Tm5 0.500 0.500 0.500
Tm6 0.000 0.500 0.375
Tm7 0.000 0.500 0.875
Tm8 0.500 0.500 0.250
Tm9 0.500 0.000 0.375
Tm10 0.000 0.500 0.625
Tm11 0.500 0.000 0.125
Tm12 0.500 0.000 0.875
Al1 0.000 0.000 0.751
Al2 0.000 0.000 0.249
Al3 0.000 0.000 0.500
Zn1 0.000 0.000 0.000
# - ΔH_f (0 K): -0.15 eV per atom
# - Fermi-level density of states: 19.84 states/eV/f.u.


# 2
# GGA-PBE MnAgBr2, relaxed
data_MnAgBr2
_cell_length_a 6.431
_cell_length_b 6.431
_cell_length_c 7.382
_cell_angle_alpha 64.18
_cell_angle_beta 64.18
_cell_angle_gamma 90.00
_symmetry_space_group_name_H-M 'P 1'
_symmetry_Int_Tables_number 1
loop_
_symmetry_equiv_pos_as_xyz
'x,y,z'
loop_
_atom_site_label
_atom_site_fract_x
_atom_site_fract_y
_atom_site_fract_z
Br1 0.160 0.625 0.250
Br2 0.590 0.125 0.250
Br3 0.875 0.840 0.750
Br4 0.375 0.410 0.750
Ag1 0.750 0.250 0.500
Ag2 0.000 0.000 0.000
Mn1 0.250 0.750 0.500
Mn2 0.500 0.500 0.000
# - Fermi-level density of states: 3.11 states/eV/f.u.
# - Raw formation energy: -73 meV per atom
# - Energy above the most stable polymorph in this dataset: 0.66 eV/f.u.